Entry 1:
Er2TmMg6: optimized geometry, PBE.

a b c (Å): 3.259 9.023 9.023
angles (deg): 59.99 90.00 90.00
Positions (direct):
Er: 0.000 0.333 0.333
Er: 0.000 0.667 0.667
Tm: 0.000 0.000 0.000
Mg: 0.499 0.667 0.000
Mg: 0.501 0.000 0.333
Mg: 0.501 0.333 0.000
Mg: 0.500 0.667 0.333
Mg: 0.499 0.000 0.667
Mg: 0.500 0.333 0.667

Computed properties:
Space-group type: P6/mmm (191)
Energy, eV per atom: -2.630
E_form, eV per atom: -0.056

=====

Entry 2:
Er2TmMg2: optimized geometry, PBE.

a b c (Å): 4.907 4.886 11.768
angles (deg): 90.00 102.03 90.00
Positions (direct):
Er: 0.055 0.750 0.111
Er: 0.449 0.750 0.897
Er: 0.945 0.250 0.889
Er: 0.551 0.250 0.103
Tm: 0.340 0.250 0.681
Tm: 0.660 0.750 0.319
Mg: 0.750 0.250 0.501
Mg: 0.250 0.750 0.499
Mg: 0.838 0.750 0.675
Mg: 0.162 0.250 0.325

Computed properties:
Relative energy among the computed polymorphs, eV per atom: 0.046
Space-group type: Cmcm (63)
Energy, eV per atom: -3.368
E_form, eV per atom: -0.011

=====

Entry 3:
Er2Tm4Mg5: optimized geometry, PBE.

a b c (Å): 6.110 5.823 11.481
angles (deg): 81.98 74.57 58.36
Positions (direct):
Er: 0.852 0.000 0.296
Er: 0.148 0.000 0.704
Tm: 0.460 0.335 0.746
Tm: 0.540 0.665 0.254
Tm: 0.206 0.335 0.254
Tm: 0.794 0.665 0.746
Mg: 0.500 0.000 0.000
Mg: 0.000 0.500 0.000
Mg: 0.500 0.500 0.000
Mg: 0.250 0.500 0.500
Mg: 0.750 0.500 0.500

Computed properties:
Space-group type: Fmmm (69)
Energy, eV per atom: -2.921
E_form, eV per atom: 0.259

=====

Entry 4:
Er6TmMg: optimized geometry, PBE.

a b c (Å): 4.909 4.909 9.840
angles (deg): 90.00 90.00 90.00
Positions (direct):
Er: 0.500 0.500 0.000
Er: 0.500 0.500 0.500
Er: 0.500 0.000 0.251
Er: 0.500 0.000 0.749
Er: 0.000 0.500 0.251
Er: 0.000 0.500 0.749
Tm: 0.000 0.000 0.000
Mg: 0.000 0.000 0.500

Computed properties:
Relative energy among the computed polymorphs, eV per atom: 0.000
Space-group type: P4/mmm (123)
Energy, eV per atom: -4.157
E_form, eV per atom: 0.024

=====

Entry 5:
ErTmMg: optimized geometry, PBE.

a b c (Å): 6.321 6.321 5.297
angles (deg): 90.00 90.00 65.49
Positions (direct):
Er: 0.750 0.250 0.500
Er: 0.250 0.750 0.500
Tm: 0.500 0.000 0.000
Tm: 0.000 0.500 0.000
Mg: 0.750 0.750 0.500
Mg: 0.250 0.250 0.500

Computed properties:
Relative energy among the computed polymorphs, eV per atom: 0.413
Space-group type: Pmmm (47)
Energy, eV per atom: -3.159
E_form, eV per atom: 0.384

=====

Entry 6:
Er5Tm5Mg2: optimized geometry, PBE.

a b c (Å): 5.376 6.540 11.572
angles (deg): 107.51 90.00 114.27
Positions (direct):
Er: 0.500 0.000 0.500
Er: 0.691 0.383 0.030
Er: 0.558 0.115 0.235
Er: 0.442 0.885 0.765
Er: 0.309 0.617 0.970
Tm: 0.178 0.356 0.519
Tm: 0.746 0.491 0.751
Tm: 0.254 0.509 0.249
Tm: 0.822 0.644 0.481
Tm: 0.000 0.000 0.000
Mg: 0.069 0.137 0.735
Mg: 0.931 0.863 0.265

Computed properties:
Space-group type: C2/m (12)
Energy, eV per atom: -3.984
E_form, eV per atom: 0.046

=====

Entry 7:
ErTm8Mg2: optimized geometry, PBE.

a b c (Å): 5.536 8.772 8.772
angles (deg): 121.12 102.06 102.06
Positions (direct):
Er: 0.500 0.000 0.000
Tm: 0.871 0.902 0.680
Tm: 0.871 0.680 0.902
Tm: 0.298 0.596 0.596
Tm: 0.500 0.788 0.212
Tm: 0.500 0.212 0.788
Tm: 0.702 0.404 0.404
Tm: 0.129 0.320 0.098
Tm: 0.129 0.098 0.320
Mg: 0.000 0.307 0.693
Mg: 0.000 0.693 0.307

Computed properties:
Space-group type: C2/m (12)
Energy, eV per atom: -3.794
E_form, eV per atom: 0.163

=====

Entry 8:
Er7Tm12Mg: optimized geometry, PBE.

a b c (Å): 10.266 10.266 10.266
angles (deg): 109.47 109.47 109.47
Positions (direct):
Er: 0.500 0.500 0.000
Er: 0.000 0.500 0.500
Er: 0.500 0.000 0.500
Er: 0.500 0.500 0.500
Er: 0.000 0.000 0.500
Er: 0.500 0.000 0.000
Er: 0.000 0.500 0.000
Tm: 0.379 0.641 0.738
Tm: 0.903 0.641 0.262
Tm: 0.621 0.359 0.262
Tm: 0.097 0.359 0.738
Tm: 0.738 0.097 0.359
Tm: 0.738 0.379 0.641
Tm: 0.262 0.903 0.641
Tm: 0.262 0.621 0.359
Tm: 0.641 0.738 0.379
Tm: 0.359 0.262 0.621
Tm: 0.641 0.262 0.903
Tm: 0.359 0.738 0.097
Mg: 0.000 0.000 0.000

Computed properties:
Relative energy among the computed polymorphs, eV per atom: 0.612
Space-group type: Im-3 (204)
Energy, eV per atom: -3.526
E_form, eV per atom: 0.834

=====

Entry 9:
ErTm3Mg12: optimized geometry, PBE.

a b c (Å): 4.593 4.593 18.888
angles (deg): 90.00 90.00 90.00
Positions (direct):
Er: 0.000 0.000 0.000
Tm: 0.000 0.000 0.250
Tm: 0.000 0.000 0.500
Tm: 0.000 0.000 0.750
Mg: 0.500 0.500 0.000
Mg: 0.500 0.500 0.250
Mg: 0.500 0.500 0.500
Mg: 0.500 0.500 0.750
Mg: 0.500 0.000 0.125
Mg: 0.500 0.000 0.375
Mg: 0.500 0.000 0.625
Mg: 0.500 0.000 0.875
Mg: 0.000 0.500 0.125
Mg: 0.000 0.500 0.375
Mg: 0.000 0.500 0.625
Mg: 0.000 0.500 0.875

Computed properties:
Space-group type: P4/mmm (123)
Energy, eV per atom: -2.363
E_form, eV per atom: -0.043

=====

Entry 10:
Er6Tm8Mg: optimized geometry, PBE.

a b c (Å): 8.879 8.879 8.420
angles (deg): 58.18 58.18 60.00
Positions (direct):
Er: 0.453 0.884 0.882
Er: 0.116 0.219 0.118
Er: 0.219 0.547 0.118
Er: 0.781 0.453 0.882
Er: 0.884 0.781 0.882
Er: 0.547 0.116 0.118
Tm: 0.259 0.281 0.568
Tm: 0.719 0.108 0.432
Tm: 0.108 0.741 0.432
Tm: 0.576 0.576 0.273
Tm: 0.424 0.424 0.727
Tm: 0.892 0.259 0.568
Tm: 0.281 0.892 0.568
Tm: 0.741 0.719 0.432
Mg: 0.000 0.000 0.000

Computed properties:
Relative energy among the computed polymorphs, eV per atom: 0.000
Space-group type: R-3 (148)
Energy, eV per atom: -4.217
E_form, eV per atom: 0.099

=====

Entry 11:
Er8Tm6Mg: optimized geometry, PBE.

a b c (Å): 6.559 9.139 9.139
angles (deg): 120.00 90.00 90.00
Positions (direct):
Er: 0.892 0.983 0.314
Er: 0.892 0.686 0.670
Er: 0.892 0.330 0.017
Er: 0.108 0.017 0.686
Er: 0.108 0.314 0.330
Er: 0.108 0.670 0.983
Er: 0.824 0.333 0.667
Er: 0.176 0.667 0.333
Tm: 0.601 0.679 0.089
Tm: 0.601 0.911 0.590
Tm: 0.601 0.410 0.321
Tm: 0.399 0.321 0.911
Tm: 0.399 0.089 0.410
Tm: 0.399 0.590 0.679
Mg: 0.500 0.000 0.000

Computed properties:
Relative energy among the computed polymorphs, eV per atom: 0.151
Space-group type: P-3 (147)
Energy, eV per atom: -4.074
E_form, eV per atom: 0.254

=====

Entry 12:
Er6Tm4Mg: optimized geometry, PBE.

a b c (Å): 6.408 6.408 9.546
angles (deg): 109.61 109.61 90.00
Positions (direct):
Er: 0.853 0.486 0.339
Er: 0.486 0.853 0.339
Er: 0.514 0.514 0.661
Er: 0.000 0.500 0.000
Er: 0.147 0.147 0.661
Er: 0.500 0.000 0.000
Tm: 0.042 0.689 0.731
Tm: 0.958 0.958 0.269
Tm: 0.689 0.042 0.731
Tm: 0.311 0.311 0.269
Mg: 0.500 0.500 0.000

Computed properties:
Space-group type: I-42m (121)
Energy, eV per atom: -3.976
E_form, eV per atom: 0.284

=====

Entry 13:
Er2Tm2Mg7: optimized geometry, PBE.

a b c (Å): 5.249 7.790 8.579
angles (deg): 117.00 107.82 90.00
Positions (direct):
Er: 0.282 0.918 0.563
Er: 0.718 0.355 0.437
Tm: 0.000 0.616 0.000
Tm: 0.500 0.301 0.000
Mg: 0.119 0.075 0.237
Mg: 0.144 0.469 0.288
Mg: 0.500 0.889 0.000
Mg: 0.346 0.452 0.692
Mg: 0.654 0.760 0.308
Mg: 0.881 0.838 0.763
Mg: 0.856 0.181 0.712

Computed properties:
Space-group type: Imm2 (44)
Energy, eV per atom: -2.585
E_form, eV per atom: 0.073

=====

Entry 14:
Er3TmMg: optimized geometry, PBE.

a b c (Å): 3.506 7.536 11.518
angles (deg): 100.14 90.00 103.45
Positions (direct):
Er: 0.252 0.504 0.752
Er: 0.748 0.496 0.248
Er: 0.352 0.704 0.048
Er: 0.648 0.296 0.952
Er: 0.150 0.301 0.459
Er: 0.850 0.699 0.541
Tm: 0.548 0.095 0.655
Tm: 0.452 0.905 0.345
Mg: 0.951 0.901 0.853
Mg: 0.049 0.099 0.147

Computed properties:
Relative energy among the computed polymorphs, eV per atom: 0.000
Space-group type: C2/m (12)
Energy, eV per atom: -3.942
E_form, eV per atom: 0.009

=====

Entry 15:
Er2Tm2Mg3: optimized geometry, PBE.

a b c (Å): 3.818 3.657 14.004
angles (deg): 90.00 82.16 90.00
Positions (direct):
Er: 0.568 0.500 0.863
Er: 0.432 0.500 0.137
Tm: 0.700 0.500 0.600
Tm: 0.300 0.500 0.400
Mg: 0.866 0.000 0.268
Mg: 0.000 0.000 0.000
Mg: 0.134 0.000 0.732

Computed properties:
Space-group type: Cmmm (65)
Energy, eV per atom: -3.225
E_form, eV per atom: 0.039

=====

Entry 16:
Er3Tm6Mg: optimized geometry, PBE.

a b c (Å): 3.482 11.561 15.024
angles (deg): 78.28 90.00 90.00
Positions (direct):
Er: 0.250 0.553 0.402
Er: 0.750 0.447 0.598
Er: 0.250 0.347 0.801
Er: 0.750 0.653 0.199
Er: 0.250 0.753 0.996
Er: 0.750 0.247 0.004
Tm: 0.250 0.450 0.100
Tm: 0.750 0.550 0.900
Tm: 0.250 0.150 0.208
Tm: 0.750 0.850 0.792
Tm: 0.250 0.642 0.701
Tm: 0.750 0.358 0.299
Tm: 0.250 0.248 0.497
Tm: 0.750 0.752 0.503
Tm: 0.250 0.852 0.303
Tm: 0.750 0.148 0.697
Tm: 0.250 0.048 0.897
Tm: 0.750 0.952 0.103
Mg: 0.250 0.954 0.594
Mg: 0.750 0.046 0.406

Computed properties:
Relative energy among the computed polymorphs, eV per atom: 0.000
Space-group type: P2_1/m (11)
Energy, eV per atom: -4.188
E_form, eV per atom: 0.023

=====

Entry 17:
ErTm2Mg2: optimized geometry, PBE.

a b c (Å): 3.396 5.904 14.790
angles (deg): 90.00 90.00 106.71
Positions (direct):
Er: 0.660 0.320 0.999
Er: 0.340 0.680 0.499
Tm: 0.929 0.858 0.090
Tm: 0.384 0.769 0.892
Tm: 0.071 0.142 0.590
Tm: 0.616 0.231 0.392
Mg: 0.189 0.379 0.197
Mg: 0.111 0.223 0.807
Mg: 0.811 0.621 0.697
Mg: 0.889 0.777 0.307

Computed properties:
Relative energy among the computed polymorphs, eV per atom: 0.116
Space-group type: Cmc2_1 (36)
Energy, eV per atom: -3.278
E_form, eV per atom: 0.061

=====

Entry 18:
Er3Tm4Mg: optimized geometry, PBE.

a b c (Å): 6.094 6.993 11.084
angles (deg): 90.00 90.00 90.00
Positions (direct):
Er: 0.639 0.628 0.000
Er: 0.978 0.622 0.246
Er: 0.478 0.378 0.254
Er: 0.139 0.372 0.500
Er: 0.478 0.378 0.746
Er: 0.978 0.622 0.754
Tm: 0.159 0.877 0.000
Tm: 0.643 0.124 0.000
Tm: 0.986 0.126 0.247
Tm: 0.486 0.874 0.253
Tm: 0.143 0.876 0.500
Tm: 0.659 0.123 0.500
Tm: 0.486 0.874 0.747
Tm: 0.986 0.126 0.753
Mg: 0.147 0.376 0.000
Mg: 0.647 0.624 0.500

Computed properties:
Relative energy among the computed polymorphs, eV per atom: 0.000
Space-group type: Pmn2_1 (31)
Energy, eV per atom: -4.145
E_form, eV per atom: 0.001

=====

Entry 19:
Er7Tm4Mg: optimized geometry, PBE.

a b c (Å): 5.717 6.553 11.570
angles (deg): 80.57 75.70 64.13
Positions (direct):
Er: 0.797 0.486 0.920
Er: 0.203 0.514 0.080
Er: 0.097 0.085 0.721
Er: 0.903 0.915 0.279
Er: 0.367 0.789 0.477
Er: 0.500 0.000 0.000
Er: 0.633 0.211 0.523
Tm: 0.625 0.522 0.228
Tm: 0.375 0.478 0.772
Tm: 0.855 0.666 0.624
Tm: 0.145 0.334 0.376
Mg: 0.000 0.000 0.000

Computed properties:
Space-group type: C2/m (12)
Energy, eV per atom: -4.001
E_form, eV per atom: 0.284

=====

Entry 20:
ErTmMg: optimized geometry, PBE.

a b c (Å): 5.231 3.347 9.928
angles (deg): 99.53 90.02 90.00
Positions (direct):
Er: 0.347 0.379 0.175
Er: 0.847 0.611 0.648
Tm: 0.347 0.037 0.497
Tm: 0.847 0.953 0.326
Mg: 0.846 0.788 0.993
Mg: 0.346 0.202 0.830

Computed properties:
Relative energy among the computed polymorphs, eV per atom: 0.073
Space-group type: P2_1 (4)
Energy, eV per atom: -3.499
E_form, eV per atom: 0.044